No. 1
# Ni2SnHg2

Crystalline Ni2SnHg2 at its relaxed geometry (PBE, Alexandria via LeMat-Bulk).

a b c (Å): 7.854 7.854 2.968
angles (deg): 90.00 90.00 90.00
Fractional coordinates of all 10 atoms:
Ni (0.160, 0.660, 0.500)
Ni (0.660, 0.840, 0.500)
Ni (0.840, 0.340, 0.500)
Ni (0.340, 0.160, 0.500)
Hg (0.363, 0.863, 0.000)
Hg (0.863, 0.637, 0.000)
Hg (0.637, 0.137, 0.000)
Hg (0.137, 0.363, 0.000)
Sn (0.000, 0.000, 0.000)
Sn (0.500, 0.500, 0.000)

Properties
DFT formation energy = 26 kJ/mol of atoms
Total moment = 0.0 Bohr magnetons per cell

---

No. 2
# Ni4SnHg

Crystalline Ni4SnHg at its relaxed geometry (PBE, Alexandria via LeMat-Bulk).

a b c (Å): 4.942 4.942 4.942
angles (deg): 60.00 60.00 60.00
Fractional coordinates of all 6 atoms:
Ni (0.625, 0.625, 0.125)
Ni (0.625, 0.125, 0.625)
Ni (0.625, 0.625, 0.625)
Ni (0.125, 0.625, 0.625)
Hg (0.000, 0.000, 0.000)
Sn (0.250, 0.250, 0.250)

Properties
DFT formation energy = 10 kJ/mol of atoms
Total moment = 0.0 Bohr magnetons per cell

---

No. 3
# SrNiSnHg2

Crystalline SrNiSnHg2 at its relaxed geometry (PBE, Alexandria via LeMat-Bulk).

a b c (Å): 5.111 5.111 4.961
angles (deg): 90.00 90.00 90.00
Fractional coordinates of all 5 atoms:
Sr (0.500, 0.500, 0.500)
Ni (0.000, 0.000, 0.000)
Hg (0.000, 0.500, 0.000)
Hg (0.500, 0.000, 0.000)
Sn (0.000, 0.000, 0.500)

Properties
DFT formation energy = -24 kJ/mol of atoms
Total moment = 0.0 Bohr magnetons per cell

---

No. 4
# SrNiSn2Hg

Crystalline SrNiSn2Hg at its relaxed geometry (PBE, Alexandria via LeMat-Bulk).

a b c (Å): 4.931 4.931 5.768
angles (deg): 90.00 90.00 90.00
Fractional coordinates of all 5 atoms:
Sr (0.000, 0.000, 0.500)
Ni (0.000, 0.000, 0.000)
Hg (0.500, 0.500, 0.500)
Sn (0.000, 0.500, 0.000)
Sn (0.500, 0.000, 0.000)

Properties
DFT formation energy = -23 kJ/mol of atoms
Total moment = 0.0 Bohr magnetons per cell

---

No. 5
# SrNiSn2Hg

Crystalline SrNiSn2Hg at its relaxed geometry (PBE, Alexandria via LeMat-Bulk).

a b c (Å): 5.053 5.053 5.142
angles (deg): 90.00 90.00 90.00
Fractional coordinates of all 5 atoms:
Sr (0.500, 0.500, 0.500)
Ni (0.000, 0.000, 0.000)
Hg (0.000, 0.000, 0.500)
Sn (0.000, 0.500, 0.000)
Sn (0.500, 0.000, 0.000)

Properties
DFT formation energy = -23 kJ/mol of atoms
Total moment = 0.0 Bohr magnetons per cell

---

No. 6
# TbNiSnHg

Crystalline TbNiSnHg at its relaxed geometry (PBE, Alexandria via LeMat-Bulk).

a b c (Å): 4.923 4.923 4.923
angles (deg): 60.00 60.00 60.00
Fractional coordinates of all 4 atoms:
Ni (0.500, 0.500, 0.500)
Tb (0.750, 0.750, 0.750)
Hg (0.000, 0.000, 0.000)
Sn (0.250, 0.250, 0.250)

Properties
DFT formation energy = -26 kJ/mol of atoms
Total moment = 0.0 Bohr magnetons per cell

---

No. 7
# TlNiSn2Hg

Crystalline TlNiSn2Hg at its relaxed geometry (PBE, Alexandria via LeMat-Bulk).

a b c (Å): 5.011 5.011 5.161
angles (deg): 90.00 90.00 90.00
Fractional coordinates of all 5 atoms:
Ni (0.000, 0.000, 0.000)
Tl (0.500, 0.500, 0.500)
Hg (0.000, 0.000, 0.500)
Sn (0.000, 0.500, 0.000)
Sn (0.500, 0.000, 0.000)

Properties
DFT formation energy = 4 kJ/mol of atoms
Total moment = 0.0 Bohr magnetons per cell

---

No. 8
# Tl2NiSnHg

Crystalline Tl2NiSnHg at its relaxed geometry (PBE, Alexandria via LeMat-Bulk).

a b c (Å): 5.192 5.192 5.005
angles (deg): 90.00 90.00 90.00
Fractional coordinates of all 5 atoms:
Ni (0.000, 0.000, 0.000)
Tl (0.000, 0.500, 0.000)
Tl (0.500, 0.000, 0.000)
Hg (0.500, 0.500, 0.500)
Sn (0.000, 0.000, 0.500)

Properties
DFT formation energy = 7 kJ/mol of atoms
Total moment = 0.0 Bohr magnetons per cell

---

No. 9
# TlNiSn2Hg

Crystalline TlNiSn2Hg at its relaxed geometry (PBE, Alexandria via LeMat-Bulk).

a b c (Å): 5.007 5.007 5.253
angles (deg): 90.00 90.00 90.00
Fractional coordinates of all 5 atoms:
Ni (0.000, 0.000, 0.000)
Tl (0.000, 0.000, 0.500)
Hg (0.500, 0.500, 0.500)
Sn (0.000, 0.500, 0.000)
Sn (0.500, 0.000, 0.000)

Properties
DFT formation energy = 5 kJ/mol of atoms
Total moment = 0.0 Bohr magnetons per cell

---

No. 10
# SrNi3Hg

Crystalline SrNi3Hg at its relaxed geometry (PBE, Alexandria via LeMat-Bulk).

a b c (Å): 4.781 4.781 4.781
angles (deg): 90.00 90.00 90.00
Fractional coordinates of all 5 atoms:
Sr (0.000, 0.000, 0.000)
Hg (0.500, 0.500, 0.500)
Ni (0.000, 0.500, 0.000)
Ni (0.000, 0.000, 0.500)
Ni (0.500, 0.000, 0.000)

Properties
DFT formation energy = 151 kJ/mol of atoms
Total moment = 0.0 Bohr magnetons per cell

---

No. 11
# SrNiHg3

Crystalline SrNiHg3 at its relaxed geometry (PBE, Alexandria via LeMat-Bulk).

a b c (Å): 5.079 5.079 5.079
angles (deg): 90.00 90.00 90.00
Fractional coordinates of all 5 atoms:
Sr (0.500, 0.500, 0.500)
Hg (0.000, 0.500, 0.000)
Hg (0.000, 0.000, 0.500)
Hg (0.500, 0.000, 0.000)
Ni (0.000, 0.000, 0.000)

Properties
DFT formation energy = -21 kJ/mol of atoms
Total moment = 0.0 Bohr magnetons per cell

---

No. 12
# Sr6NiHg2

Crystalline Sr6NiHg2 at its relaxed geometry (PBE, Alexandria via LeMat-Bulk).

a b c (Å): 7.505 8.602 11.138
angles (deg): 90.00 89.86 90.00
Fractional coordinates of all 18 atoms:
Sr (0.134, 0.031, 0.253)
Sr (0.156, 0.308, 0.561)
Sr (0.172, 0.330, 0.940)
Sr (0.328, 0.830, 0.560)
Sr (0.344, 0.808, 0.939)
Sr (0.366, 0.531, 0.247)
Sr (0.866, 0.969, 0.747)
Sr (0.844, 0.692, 0.439)
Sr (0.828, 0.670, 0.060)
Sr (0.672, 0.170, 0.440)
Sr (0.656, 0.192, 0.061)
Sr (0.634, 0.469, 0.753)
Ni (0.500, 0.500, 0.000)
Ni (0.000, 0.000, 0.500)
Hg (0.055, 0.617, 0.746)
Hg (0.445, 0.117, 0.754)
Hg (0.555, 0.883, 0.246)
Hg (0.945, 0.383, 0.254)

Properties
DFT formation energy = -24 kJ/mol of atoms
Total moment = 0.0 Bohr magnetons per cell

---

No. 13
# Sr8Ni2Hg

Crystalline Sr8Ni2Hg at its relaxed geometry (PBE, Alexandria via LeMat-Bulk).

a b c (Å): 6.356 9.625 9.623
angles (deg): 120.04 89.99 90.01
Fractional coordinates of all 11 atoms:
Sr (0.244, 0.667, 0.333)
Sr (0.756, 0.333, 0.667)
Sr (0.745, 0.832, 0.166)
Sr (0.255, 0.166, 0.334)
Sr (0.255, 0.666, 0.832)
Sr (0.255, 0.168, 0.834)
Sr (0.745, 0.834, 0.666)
Sr (0.745, 0.334, 0.168)
Ni (0.255, 0.333, 0.667)
Ni (0.745, 0.667, 0.333)
Hg (0.000, 0.000, 0.000)

Properties
DFT formation energy = 8 kJ/mol of atoms
Total moment = 0.0 Bohr magnetons per cell

---

No. 14
# SrNi3Hg

Crystalline SrNi3Hg at its relaxed geometry (PBE, Alexandria via LeMat-Bulk).

a b c (Å): 4.836 4.836 4.836
angles (deg): 90.00 90.00 90.00
Fractional coordinates of all 5 atoms:
Sr (0.500, 0.500, 0.500)
Hg (0.000, 0.000, 0.000)
Ni (0.000, 0.500, 0.000)
Ni (0.000, 0.000, 0.500)
Ni (0.500, 0.000, 0.000)

Properties
DFT formation energy = 62 kJ/mol of atoms
Total moment = 0.0 Bohr magnetons per cell

---

No. 15
# Sr12Ni5Hg3

Crystalline Sr12Ni5Hg3 at its relaxed geometry (PBE, Alexandria via LeMat-Bulk).

a b c (Å): 15.839 15.839 15.839
angles (deg): 109.47 109.47 109.47
Fractional coordinates of all 80 atoms:
Hg (0.750, 0.375, 0.125)
Hg (0.875, 0.750, 0.125)
Hg (0.375, 0.750, 0.625)
Hg (0.250, 0.125, 0.375)
Hg (0.875, 0.125, 0.250)
Hg (0.375, 0.625, 0.250)
Hg (0.625, 0.375, 0.750)
Hg (0.125, 0.875, 0.750)
Hg (0.750, 0.875, 0.625)
Hg (0.625, 0.250, 0.375)
Hg (0.125, 0.250, 0.875)
Hg (0.250, 0.625, 0.875)
Ni (0.125, 0.375, 0.250)
Ni (0.000, 0.500, 0.000)
Ni (0.000, 0.000, 0.000)
Ni (0.375, 0.250, 0.125)
Ni (0.500, 0.000, 0.500)
Ni (0.500, 0.500, 0.000)
Ni (0.125, 0.750, 0.375)
Ni (0.750, 0.125, 0.875)
Ni (0.750, 0.625, 0.375)
Ni (0.375, 0.125, 0.750)
Ni (0.625, 0.875, 0.250)
Ni (0.500, 0.500, 0.500)
Ni (0.500, 0.000, 0.000)
Ni (0.000, 0.000, 0.500)
Ni (0.250, 0.375, 0.625)
Ni (0.250, 0.875, 0.125)
Ni (0.000, 0.500, 0.500)
Ni (0.875, 0.250, 0.625)
Ni (0.625, 0.750, 0.875)
Ni (0.875, 0.625, 0.750)
Sr (0.707, 0.117, 0.028)
Sr (0.321, 0.528, 0.411)
Sr (0.972, 0.383, 0.293)
Sr (0.528, 0.207, 0.117)
Sr (0.589, 0.707, 0.679)
Sr (0.972, 0.589, 0.179)
Sr (0.321, 0.793, 0.411)
Sr (0.089, 0.911, 0.117)
Sr (0.589, 0.972, 0.679)
Sr (0.707, 0.589, 0.179)
Sr (0.793, 0.472, 0.383)
Sr (0.821, 0.911, 0.028)
Sr (0.117, 0.707, 0.528)
Sr (0.383, 0.411, 0.089)
Sr (0.089, 0.911, 0.383)
Sr (0.411, 0.117, 0.589)
Sr (0.089, 0.179, 0.207)
Sr (0.472, 0.679, 0.089)
Sr (0.821, 0.911, 0.293)
Sr (0.117, 0.411, 0.089)
Sr (0.383, 0.972, 0.793)
Sr (0.589, 0.617, 0.411)
Sr (0.911, 0.821, 0.528)
Sr (0.793, 0.321, 0.911)
Sr (0.411, 0.383, 0.589)
Sr (0.089, 0.179, 0.472)
Sr (0.207, 0.679, 0.089)
Sr (0.179, 0.089, 0.707)
Sr (0.617, 0.028, 0.207)
Sr (0.883, 0.589, 0.911)
Sr (0.528, 0.321, 0.911)
Sr (0.589, 0.883, 0.411)
Sr (0.911, 0.821, 0.793)
Sr (0.911, 0.089, 0.617)
Sr (0.883, 0.293, 0.472)
Sr (0.179, 0.089, 0.972)
Sr (0.617, 0.589, 0.911)
Sr (0.411, 0.028, 0.321)
Sr (0.293, 0.411, 0.821)
Sr (0.207, 0.528, 0.617)
Sr (0.911, 0.089, 0.883)
Sr (0.679, 0.207, 0.589)
Sr (0.472, 0.793, 0.883)
Sr (0.028, 0.411, 0.821)
Sr (0.411, 0.293, 0.321)
Sr (0.028, 0.617, 0.707)
Sr (0.679, 0.472, 0.589)
Sr (0.293, 0.883, 0.972)

Properties
DFT formation energy = 6 kJ/mol of atoms
Total moment = 0.0 Bohr magnetons per cell

---

No. 16
# Sr8NiHg2

Crystalline Sr8NiHg2 at its relaxed geometry (PBE, Alexandria via LeMat-Bulk).

a b c (Å): 7.351 8.577 8.577
angles (deg): 72.60 75.15 75.15
Fractional coordinates of all 11 atoms:
Sr (0.243, 0.662, 0.058)
Sr (0.757, 0.942, 0.338)
Sr (0.250, 0.129, 0.129)
Sr (0.750, 0.871, 0.871)
Sr (0.243, 0.058, 0.662)
Sr (0.757, 0.338, 0.942)
Sr (0.792, 0.414, 0.414)
Sr (0.208, 0.586, 0.586)
Ni (0.000, 0.000, 0.000)
Hg (0.421, 0.323, 0.323)
Hg (0.579, 0.677, 0.677)

Properties
DFT formation energy = -18 kJ/mol of atoms
Total moment = 0.0 Bohr magnetons per cell

---

No. 17
# SrNi2Hg2

Crystalline SrNi2Hg2 at its relaxed geometry (PBE, Alexandria via LeMat-Bulk).

a b c (Å): 4.474 4.474 6.213
angles (deg): 68.89 68.89 90.00
Fractional coordinates of all 5 atoms:
Sr (0.000, 0.000, 0.000)
Hg (0.750, 0.250, 0.500)
Hg (0.250, 0.750, 0.500)
Ni (0.393, 0.393, 0.214)
Ni (0.607, 0.607, 0.786)

Properties
DFT formation energy = -7 kJ/mol of atoms
Total moment = 0.0 Bohr magnetons per cell

---

No. 18
# SrNiHg4

Crystalline SrNiHg4 at its relaxed geometry (PBE, Alexandria via LeMat-Bulk).

a b c (Å): 5.944 5.944 5.944
angles (deg): 60.00 60.00 60.00
Fractional coordinates of all 6 atoms:
Sr (0.000, 0.000, 0.000)
Ni (0.750, 0.750, 0.750)
Hg (0.873, 0.376, 0.376)
Hg (0.376, 0.376, 0.873)
Hg (0.376, 0.873, 0.376)
Hg (0.376, 0.376, 0.376)

Properties
DFT formation energy = 9 kJ/mol of atoms
Total moment = 0.0 Bohr magnetons per cell

---

No. 19
# SrNi2Hg2

Crystalline SrNi2Hg2 at its relaxed geometry (PBE, Alexandria via LeMat-Bulk).

a b c (Å): 7.494 7.494 3.513
angles (deg): 90.00 90.00 90.00
Fractional coordinates of all 10 atoms:
Sr (0.000, 0.000, 0.000)
Sr (0.500, 0.500, 0.000)
Hg (0.165, 0.665, 0.500)
Hg (0.665, 0.835, 0.500)
Hg (0.835, 0.335, 0.500)
Hg (0.335, 0.165, 0.500)
Ni (0.381, 0.881, 0.000)
Ni (0.881, 0.619, 0.000)
Ni (0.619, 0.119, 0.000)
Ni (0.119, 0.381, 0.000)

Properties
DFT formation energy = 3 kJ/mol of atoms
Total moment = 0.0 Bohr magnetons per cell

---

No. 20
# Sr2NiHgTe

Crystalline Sr2NiHgTe at its relaxed geometry (PBE, Alexandria via LeMat-Bulk).

a b c (Å): 5.660 5.660 4.898
angles (deg): 90.00 90.00 90.00
Fractional coordinates of all 5 atoms:
Sr (0.000, 0.500, 0.000)
Sr (0.500, 0.000, 0.000)
Te (0.500, 0.500, 0.500)
Hg (0.000, 0.000, 0.500)
Ni (0.000, 0.000, 0.000)

Properties
Energy relative to the elements, uncorrected = -585 meV per atom
Total moment = 0.0 Bohr magnetons per cell

---

No. 21
# Sr2TlNiHg

Crystalline Sr2TlNiHg at its relaxed geometry (PBE, Alexandria via LeMat-Bulk).

a b c (Å): 5.738 5.738 4.964
angles (deg): 90.00 90.00 90.00
Fractional coordinates of all 5 atoms:
Sr (0.000, 0.500, 0.000)
Sr (0.500, 0.000, 0.000)
Tl (0.000, 0.000, 0.500)
Hg (0.500, 0.500, 0.500)
Ni (0.000, 0.000, 0.000)

Properties
DFT formation energy = -20 kJ/mol of atoms
Total moment = 0.0 Bohr magnetons per cell

---

No. 22
# Sr2TlNiHg

Crystalline Sr2TlNiHg at its relaxed geometry (PBE, Alexandria via LeMat-Bulk).

a b c (Å): 6.296 4.812 6.296
angles (deg): 90.00 90.00 90.00
Fractional coordinates of all 5 atoms:
Sr (0.000, 0.000, 0.500)
Sr (0.500, 0.000, 0.000)
Tl (0.000, 0.000, 0.000)
Hg (0.500, 0.500, 0.500)
Ni (0.000, 0.500, 0.000)

Properties
DFT formation energy = 14 kJ/mol of atoms
Total moment = 0.0 Bohr magnetons per cell